1.
DFT (SCAN) results for a crystal of MnTc relaxed with PBEsol.

CIF file:
```
data_MnTc
_space_group_name_H-M_alt 'P m m n'
_space_group_IT_number 59
_cell_length_a 2.6201
_cell_length_b 4.1756
_cell_length_c 4.4963
_cell_angle_alpha 90.00
_cell_angle_beta 90.00
_cell_angle_gamma 90.00
loop_
_space_group_symop_operation_xyz
'x,y,z'
'-x,-y,-z'
'-x+1/2,-y+1/2,z'
'x+1/2,y+1/2,-z'
'x+1/2,-y,-z'
'-x+1/2,y,z'
'-x,y+1/2,-z'
'x,-y+1/2,z'
loop_
_atom_site_label
_atom_site_fract_x
_atom_site_fract_y
_atom_site_fract_z
Mn1 0.2500 0.2500 0.0789
Tc1 0.2500 0.7500 0.4031
```

Calculated values
- Formation energy: 0.214 eV per atom

2.
DFT (SCAN) results for a crystal of MnTc relaxed with PBEsol.

CIF file:
```
data_MnTc
_space_group_name_H-M_alt 'P 1 21/m 1'
_space_group_IT_number 11
_cell_length_a 2.6125
_cell_length_b 3.9665
_cell_length_c 4.8943
_cell_angle_alpha 90.00
_cell_angle_beta 105.37
_cell_angle_gamma 90.00
loop_
_space_group_symop_operation_xyz
'x,y,z'
'-x,-y,-z'
'-x,y+1/2,-z'
'x,-y+1/2,z'
loop_
_atom_site_label
_atom_site_fract_x
_atom_site_fract_y
_atom_site_fract_z
Mn1 0.0563 0.2500 0.1159
Tc1 0.3273 0.2500 0.6523
```

Calculated values
- Formation energy: 0.155 eV per atom

3.
DFT (SCAN) results for a crystal of MnTc8 relaxed with PBEsol.

CIF file:
```
data_MnTc8
_space_group_name_H-M_alt 'I 4/m m m'
_space_group_IT_number 139
_space_group_name_Hall '-I 4 2'
_cell_length_a 8.0492
_cell_length_b 8.0492
_cell_length_c 3.7918
_cell_angle_alpha 90.00
_cell_angle_beta 90.00
_cell_angle_gamma 90.00
loop_
_atom_site_label
_atom_site_fract_x
_atom_site_fract_y
_atom_site_fract_z
Mn1 0.0000 0.0000 0.0000
Tc1 0.0000 0.3274 0.0000
Tc2 0.1623 0.1623 0.5000
```

Calculated values
- Formation energy: 0.065 eV per atom

4.
DFT (SCAN) results for a crystal of MnTc3 relaxed with PBEsol.

CIF file:
```
data_MnTc3
_space_group_name_H-M_alt 'P m m 2'
_space_group_IT_number 25
_cell_length_a 2.6760
_cell_length_b 4.2605
_cell_length_c 4.6136
_cell_angle_alpha 90.00
_cell_angle_beta 90.00
_cell_angle_gamma 90.00
loop_
_space_group_symop_operation_xyz
'x,y,z'
'-x,-y,z'
'-x,y,z'
'x,-y,z'
loop_
_atom_site_label
_atom_site_fract_x
_atom_site_fract_y
_atom_site_fract_z
Mn1 0.0000 0.0000 0.0000
Tc1 0.0000 0.5000 0.3299
Tc2 0.5000 0.0000 0.5047
Tc3 0.5000 0.5000 0.8424
```

Calculated values
- Formation energy: 0.120 eV per atom

5.
DFT (SCAN) results for a crystal of Mn3Tc4 relaxed with PBEsol.

CIF file:
```
data_Mn3Tc4
_space_group_name_H-M_alt 'P 6/m m m'
_space_group_IT_number 191
_space_group_name_Hall '-P 6 2'
_cell_length_a 4.5928
_cell_length_b 4.5928
_cell_length_c 4.7613
_cell_angle_alpha 90.00
_cell_angle_beta 90.00
_cell_angle_gamma 120.00
loop_
_atom_site_label
_atom_site_fract_x
_atom_site_fract_y
_atom_site_fract_z
Mn1 0.0000 0.5000 0.0000
Tc1 0.0000 0.0000 0.2566
Tc2 0.3333 0.6667 0.5000
```

Calculated values
- Formation energy: 0.010 eV per atom

6.
DFT (SCAN) results for a crystal of MnTc3 relaxed with PBEsol.

CIF file:
```
data_MnTc3
_space_group_name_H-M_alt 'I m m 2'
_space_group_IT_number 44
_cell_length_a 2.6792
_cell_length_b 8.5516
_cell_length_c 4.5845
_cell_angle_alpha 90.00
_cell_angle_beta 90.00
_cell_angle_gamma 90.00
loop_
_space_group_symop_operation_xyz
'x,y,z'
'-x,-y,z'
'-x,y,z'
'x,-y,z'
'x+1/2,y+1/2,z+1/2'
'-x+1/2,-y+1/2,z+1/2'
'-x+1/2,y+1/2,z+1/2'
'x+1/2,-y+1/2,z+1/2'
loop_
_atom_site_label
_atom_site_fract_x
_atom_site_fract_y
_atom_site_fract_z
Mn1 0.0000 0.0000 0.0000
Tc1 0.0000 0.2621 0.6580
Tc2 0.0000 0.5000 0.0081
```

Calculated values
- Formation energy: 0.051 eV per atom

7.
DFT (SCAN) results for a crystal of MnTc relaxed with PBEsol.

CIF file:
```
data_MnTc
_space_group_name_H-M_alt 'I 41/a m d'
_space_group_IT_number 141
_cell_length_a 3.6454
_cell_length_b 3.6454
_cell_length_c 7.4105
_cell_angle_alpha 90.00
_cell_angle_beta 90.00
_cell_angle_gamma 90.00
loop_
_space_group_symop_operation_xyz
'x,y,z'
'-x,-y,-z'
'-y+1/4,x+3/4,z+1/4'
'y+1/4,-x+3/4,-z+1/4'
'-x+1/2,-y,z+1/2'
'x+1/2,y,-z+1/2'
'y+1/4,-x+1/4,z+3/4'
'-y+1/4,x+1/4,-z+3/4'
'x,-y,-z'
'-x,y,z'
'-y+1/4,-x+1/4,-z+3/4'
'y+1/4,x+1/4,z+3/4'
'-x+1/2,y,-z+1/2'
'x+1/2,-y,z+1/2'
'y+1/4,x+3/4,-z+1/4'
'-y+1/4,-x+3/4,z+1/4'
'x+1/2,y+1/2,z+1/2'
'-x+1/2,-y+1/2,-z+1/2'
'-y+3/4,x+1/4,z+3/4'
'y+3/4,-x+1/4,-z+3/4'
'-x,-y+1/2,z'
'x,y+1/2,-z'
'y+3/4,-x+3/4,z+1/4'
'-y+3/4,x+3/4,-z+1/4'
'x+1/2,-y+1/2,-z+1/2'
'-x+1/2,y+1/2,z+1/2'
'-y+3/4,-x+3/4,-z+1/4'
'y+3/4,x+3/4,z+1/4'
'-x,y+1/2,-z'
'x,-y+1/2,z'
'y+3/4,x+1/4,-z+3/4'
'-y+3/4,-x+1/4,z+3/4'
loop_
_atom_site_label
_atom_site_fract_x
_atom_site_fract_y
_atom_site_fract_z
Mn1 0.0000 0.2500 0.3750
Tc1 0.0000 0.2500 0.8750
```

Calculated values
- Formation energy: 0.110 eV per atom

8.
DFT (SCAN) results for a crystal of MnTcTe2 relaxed with PBEsol.

CIF file:
```
data_MnTcTe2
_space_group_name_H-M_alt 'F m -3 m'
_space_group_IT_number 225
_space_group_name_Hall '-F 4 2 3'
_cell_length_a 6.6059
_cell_length_b 6.6059
_cell_length_c 6.6059
_cell_angle_alpha 90.00
_cell_angle_beta 90.00
_cell_angle_gamma 90.00
loop_
_atom_site_label
_atom_site_fract_x
_atom_site_fract_y
_atom_site_fract_z
Mn1 0.0000 0.0000 0.0000
Tc1 0.0000 0.0000 0.5000
Te1 0.2500 0.2500 0.2500
```

Calculated values
- Formation energy without anion corrections: 0.205 eV/atom
- Energy above the lowest structure with this stoichiometry: 52.6 meV/atom

- What is the formula in the fifth record?
  Mn3Tc4

- What is the formula in the eighth record?
  MnTcTe2

- What is the formula in the fifth record?
  Mn3Tc4

- Number 1 is which compound?
  MnTc